[1]
The following is a GGA-PBE calculation of a relaxed structure of Ce7Co2Sb, from Alexandria via LeMat-Bulk.

```
Ce7Co2Sb
1.0
4.7634 -6.2246 0.0000
4.7634 6.2246 0.0000
0.0000 0.0000 4.7521
Ce Co Sb
7 2 1
Direct
0.0000 0.0000 0.0000
0.1944 0.4191 0.0000
0.2201 0.7799 0.5000
0.4191 0.1944 0.0000
0.5809 0.8056 0.0000
0.7799 0.2201 0.5000
0.8056 0.5809 0.0000
0.1988 0.8012 0.0000
0.8012 0.1988 0.0000
0.5000 0.5000 0.5000
```

Properties
The uncorrected formation energy is -151 meV per atom. The density of states at the Fermi level is 26.77 states/eV/cell.



[2]
The following is a GGA-PBE calculation of a relaxed structure of CeCoSb2, from Alexandria via LeMat-Bulk.

```
CeCoSb2
1.0
4.3728 0.0000 0.0000
0.0000 4.3728 0.0000
0.0000 0.0000 9.5428
Ce Co Sb
2 2 4
Direct
0.2500 0.2500 0.2326
0.7500 0.7500 0.7674
0.2500 0.7500 0.0000
0.7500 0.2500 0.0000
0.2500 0.2500 0.8564
0.2500 0.7500 0.5000
0.7500 0.2500 0.5000
0.7500 0.7500 0.1436
```

Properties
The uncorrected formation energy is -640 meV per atom. The density of states at the Fermi level is 8.07 states/eV/cell.



[3]
The following is a GGA-PBE calculation of a relaxed structure of Ce4CoSb, from Alexandria via LeMat-Bulk.

```
Ce4CoSb
1.0
8.2330 -3.3378 0.0000
8.2330 3.3378 0.0000
-1.9196 0.0000 5.4481
Ce Co Sb
8 2 2
Direct
0.0982 0.6582 0.3733
0.2250 0.7750 0.0000
0.3015 0.3015 0.8017
0.3418 0.9018 0.6267
0.6582 0.0982 0.3733
0.6985 0.6985 0.1983
0.7750 0.2250 0.0000
0.9018 0.3418 0.6267
0.4676 0.4676 0.6642
0.5324 0.5324 0.3358
0.1931 0.1931 0.1968
0.8069 0.8069 0.8032
```

Properties
The uncorrected formation energy is -402 meV per atom. The density of states at the Fermi level is 32.73 states/eV/cell.



[4]
The following is a GGA-PBE calculation of a relaxed structure of Ce4Co2Sb, from Alexandria via LeMat-Bulk.

```
Ce4Co2Sb
1.0
0.0000 6.4623 3.9764
6.4614 0.0000 3.9764
6.4614 6.4623 0.0000
Ce Co Sb
8 4 2
Direct
0.0704 0.4296 0.1672
0.0828 0.9172 0.1796
0.1426 0.5015 0.7603
0.4296 0.0704 0.3328
0.4897 0.6544 0.1074
0.5015 0.1426 0.5956
0.6544 0.4897 0.7485
0.9172 0.0828 0.8204
0.1608 0.4095 0.4653
0.2857 0.7847 0.8405
0.4095 0.1608 0.9643
0.7847 0.2857 0.0892
0.6609 0.6609 0.3391
0.9109 0.9109 0.5891
```

Properties
The uncorrected formation energy is -361 meV per atom. The density of states at the Fermi level is 20.90 states/eV/cell.